! MgMn2O6 (PBE with a Hubbard U, relaxed); values from VASP
&SYSTEM
  ibrav = 0, nat = 9, ntyp = 3
/
ATOMIC_SPECIES
Mg 24.30 Mg.upf
Mn 54.94 Mn.upf
O 16.00 O.upf
ATOMIC_POSITIONS crystal
Mg 0.0000 0.0000 0.0000
Mn 0.3333 0.6667 0.0000
Mn 0.6667 0.3333 0.0000
O 0.0000 0.3532 0.7741
O 0.0000 0.6468 0.2259
O 0.3532 0.0000 0.7741
O 0.3532 0.3532 0.2259
O 0.6468 0.0000 0.2259
O 0.6468 0.6468 0.7741
CELL_PARAMETERS angstrom
5.2216 0.0000 0.0000
-2.6108 4.5221 0.0000
0.0000 0.0000 4.1818
! - E: -57.3 eV per cell
! - Size of the total moment: 3.99 μB/cell
! - Density of states at the Fermi level: 0.359 states/eV/atom
! - Space group: No. 162

---

! Ac6MoO12 (PBE with a Hubbard U, relaxed); values from VASP
&SYSTEM
  ibrav = 0, nat = 19, ntyp = 3
/
ATOMIC_SPECIES
Ac 227.00 Ac.upf
Mo 95.94 Mo.upf
O 16.00 O.upf
ATOMIC_POSITIONS crystal
Ac 0.1052 0.8006 0.6428
Ac 0.1994 0.3572 0.8948
Ac 0.3572 0.8948 0.1994
Ac 0.6428 0.1052 0.8006
Ac 0.8006 0.6428 0.1052
Ac 0.8948 0.1994 0.3572
Mo 0.5000 0.5000 0.5000
O 0.0546 0.9052 0.3227
O 0.0948 0.6773 0.9454
O 0.2231 0.4345 0.5286
O 0.3227 0.0546 0.9052
O 0.4345 0.5286 0.2231
O 0.4714 0.7769 0.5655
O 0.5286 0.2231 0.4345
O 0.5655 0.4714 0.7769
O 0.6773 0.9454 0.0948
O 0.7769 0.5655 0.4714
O 0.9052 0.3227 0.0546
O 0.9454 0.0948 0.6773
CELL_PARAMETERS angstrom
5.3427 3.0846 3.4300
-5.3427 3.0846 3.4300
0.0000 -6.1692 3.4300
! - E: -149.2 eV per cell
! - Size of the total moment: 0.00 μB/cell
! - Density of states at the Fermi level: 0.000 states/eV/atom
! - Space group: No. 148

---

| no. | volume (Å³/cell) |
| --- | --- |
| 1 | 98.7 |
| 2 | 339.2 |